Arrangement P

Entry from Alexandria: an optimized crystal structure of CrSiP (GGA-PBE).

Structure (POSCAR):
```
CrSiP
1.0
2.9722 0.0000 0.0000
-1.4861 2.5740 0.0000
0.0000 0.0000 5.4138
Cr Si P
1 1 1
Cartesian
1.4861 0.8580 5.4109 Cr
0.0000 1.7160 3.7251 Si
0.0000 1.7160 1.4700 P
```

Calculated values
Magnetization ... 0.001 μB per formula unit

---

Arrangement Q

Entry from Alexandria: an optimized crystal structure of CrSiP (GGA-PBE).

Structure (POSCAR):
```
CrSiP
1.0
3.2320 0.0000 0.0000
0.0000 3.1215 0.0000
0.0000 0.0000 9.0653
Cr Si P
2 2 2
Cartesian
1.6160 0.0000 1.1328 Cr
1.6160 1.5608 5.6654 Cr
1.6160 0.0000 7.8202 Si
1.6160 1.5608 3.2875 Si
0.0000 0.0000 6.1940 P
0.0000 1.5608 1.6614 P
```

Calculated values
Magnetization ... 0.406 μB per formula unit

---

The structures above, arranged from the most stable to the least stable: arrangement P, arrangement Q.